The following is a DFT calculation (SCAN) of a PBEsol-optimized structure of ZrFeOs2.

Summary:
Spin magnetization   2.42 μB/f.u.
E above lowest polymorph   0.2389 eV/atom
Calculated formation energy   213 meV per atom
Uncorrected energy   -47.93 eV/atom

a = 2.7320 Å, b = 2.7320 Å, c = 27.1673 Å
α = 90.00°, β = 90.00°, γ = 120.00°
Space group R-3m (No. 166, hexagonal axes)
Inequivalent atoms, fractional coordinates:
Zr1 0.0000 0.0000 0.0000 x3
Fe1 0.0000 0.0000 0.5000 x3
Os1 0.0000 0.0000 0.2402 x6

=====

The following is a DFT calculation (SCAN) of a PBEsol-optimized structure of Hg2SbRh.

Summary:
Spin magnetization   0.00 μB/f.u.
E_form (uncorrected)   -6 meV per atom
Uncorrected energy   -51.85 eV/atom

a = 3.0447 Å, b = 4.5657 Å, c = 12.4597 Å
α = 90.00°, β = 90.00°, γ = 90.00°
Space group Imm2 (No. 44)
Inequivalent atoms, fractional coordinates:
Hg1 0.0000 0.0000 0.0000 x2
Hg2 0.0000 0.5000 0.1741 x2
Sb1 0.0000 0.0000 0.3647 x2
Rh1 0.0000 0.5000 0.6929 x2

=====

The following is a DFT calculation (SCAN) of a PBEsol-optimized structure of TlNiAg2.

Summary:
Spin magnetization   0.00 μB/f.u.
E above lowest polymorph   0.0000 eV/atom
Calculated formation energy   273 meV per atom
Uncorrected energy   -37.54 eV/atom

a = 3.0943 Å, b = 3.0943 Å, c = 6.9415 Å
α = 90.00°, β = 90.00°, γ = 90.00°
Space group P4mm (No. 99)
Inequivalent atoms, fractional coordinates:
Tl1 0.0000 0.0000 0.0000 x1
Ni1 0.5000 0.5000 0.7700 x1
Ag1 0.0000 0.0000 0.5546 x1
Ag2 0.5000 0.5000 0.3018 x1

=====

The following is a DFT calculation (SCAN) of a PBEsol-optimized structure of LaZrCd.

Summary:
Spin magnetization   0.00 μB/f.u.
E above lowest polymorph   0.0000 eV/atom
Calculated formation energy   -88 meV per atom
Uncorrected energy   -34.83 eV/atom

a = 3.2989 Å, b = 3.2989 Å, c = 13.8616 Å
α = 90.00°, β = 90.00°, γ = 90.00°
Space group I4mm (No. 107)
Inequivalent atoms, fractional coordinates:
La1 0.0000 0.0000 0.0000 x2
Zr1 0.0000 0.0000 0.3203 x2
Cd1 0.0000 0.0000 0.6791 x2

=====

The following is a DFT calculation (SCAN) of a PBEsol-optimized structure of Cu2AuBr.

Summary:
Spin magnetization   0.00 μB/f.u.
E above lowest polymorph   0.0000 eV/atom
E_form (uncorrected)   159 meV per atom
Uncorrected energy   -29.59 eV/atom

a = 3.2256 Å, b = 3.7233 Å, c = 11.9035 Å
α = 90.00°, β = 90.00°, γ = 90.00°
Space group Imm2 (No. 44)
Inequivalent atoms, fractional coordinates:
Cu1 0.0000 0.0000 0.0000 x2
Cu2 0.0000 0.5000 0.1316 x2
Au1 0.0000 0.5000 0.6810 x2
Br1 0.0000 0.0000 0.4050 x2

=====

The following is a DFT calculation (SCAN) of a PBEsol-optimized structure of SiP2S2.

Summary:
Spin magnetization   0.00 μB/f.u.
E above lowest polymorph   0.0000 eV/atom
E_form (uncorrected)   850 meV per atom
Uncorrected energy   -9.16 eV/atom

a = 4.4093 Å, b = 4.4093 Å, c = 4.4644 Å
α = 90.00°, β = 90.00°, γ = 90.00°
Space group P4/mmm (No. 123)
Inequivalent atoms, fractional coordinates:
Si1 0.0000 0.0000 0.0000 x1
P1 0.5000 0.5000 0.0000 x1
P2 0.5000 0.5000 0.5000 x1
S1 0.0000 0.5000 0.5000 x2

=====

The following is a DFT calculation (SCAN) of a PBEsol-optimized structure of ScPtPb2.

Summary:
Spin magnetization   0.00 μB/f.u.
E above lowest polymorph   0.1616 eV/atom
Calculated formation energy   -222 meV per atom
Uncorrected energy   -59.22 eV/atom

a = 4.6176 Å, b = 5.5959 Å, c = 6.8097 Å
α = 90.00°, β = 90.00°, γ = 90.00°
Space group Cmmm (No. 65)
Inequivalent atoms, fractional coordinates:
Sc1 0.0000 0.0000 0.0000 x2
Pt1 0.0000 0.0000 0.5000 x2
Pb1 0.0000 0.5000 0.2701 x4

=====

The following is a DFT calculation (SCAN) of a PBEsol-optimized structure of ZnReSe2Br.

Summary:
Spin magnetization   4.19 μB/f.u.
E_form (uncorrected)   1184 meV per atom
Uncorrected energy   -27.66 eV/atom

a = 4.8757 Å, b = 4.8757 Å, c = 4.7910 Å
α = 90.00°, β = 90.00°, γ = 90.00°
Space group P4/mmm (No. 123)
Inequivalent atoms, fractional coordinates:
Zn1 0.0000 0.0000 0.0000 x1
Re1 0.5000 0.5000 0.5000 x1
Se1 0.0000 0.5000 0.0000 x2
Br1 0.0000 0.0000 0.5000 x1

=====

The following is a DFT calculation (SCAN) of a PBEsol-optimized structure of Li4Co3O3F4.

Summary:
Spin magnetization   8.51 μB/f.u.
E_form (uncorrected)   -2213 meV per atom
Uncorrected energy   -8.95 eV/atom

a = 2.8630 Å, b = 2.8630 Å, c = 29.2676 Å
α = 90.00°, β = 90.00°, γ = 90.00°
Space group I4/mmm (No. 139)
Inequivalent atoms, fractional coordinates:
Li1 0.0000 0.0000 0.1472 x4
Li2 0.0000 0.0000 0.2836 x4
Co1 0.0000 0.0000 0.0000 x2
Co2 0.0000 0.0000 0.4283 x4
O1 0.0000 0.0000 0.0754 x4
O2 0.0000 0.0000 0.5000 x2
F1 0.0000 0.0000 0.2160 x4
F2 0.0000 0.0000 0.3513 x4

=====

The following is a DFT calculation (SCAN) of a PBEsol-optimized structure of KCrOs2.

Summary:
Spin magnetization   3.55 μB/f.u.
E above lowest polymorph   0.0943 eV/atom
Calculated formation energy   777 meV per atom
Uncorrected energy   -41.84 eV/atom

a = 8.8800 Å, b = 2.7567 Å, c = 6.8760 Å
α = 90.00°, β = 96.19°, γ = 90.00°
Space group Cm (No. 8)
Inequivalent atoms, fractional coordinates:
K1 0.0000 0.0000 0.0000 x2
Cr1 0.2777 0.5000 0.3545 x2
Os1 0.2307 0.0000 0.6349 x2
Os2 0.4943 0.0000 0.5259 x2

=====

The following is a DFT calculation (SCAN) of a PBEsol-optimized structure of NaMoPd3.

Summary:
Spin magnetization   0.00 μB/f.u.
Calculated formation energy   803 meV per atom
Uncorrected energy   -26.68 eV/atom

a = 4.7683 Å, b = 4.7683 Å, c = 4.7683 Å
α = 90.00°, β = 90.00°, γ = 90.00°
Space group Pm-3m (No. 221)
Inequivalent atoms, fractional coordinates:
Na1 0.0000 0.0000 0.0000 x1
Mo1 0.5000 0.5000 0.5000 x1
Pd1 0.0000 0.5000 0.5000 x3

=====

The following is a DFT calculation (SCAN) of a PBEsol-optimized structure of ScInTe2.

Summary:
Spin magnetization   0.00 μB/f.u.
E_form (uncorrected)   -761 meV per atom
Uncorrected energy   -31.29 eV/atom

a = 3.7545 Å, b = 4.0055 Å, c = 15.8869 Å
α = 90.00°, β = 90.00°, γ = 90.00°
Space group Imm2 (No. 44)
Inequivalent atoms, fractional coordinates:
Sc1 0.0000 0.0000 0.0000 x2
In1 0.0000 0.5000 0.2408 x2
Te1 0.0000 0.0000 0.4281 x2
Te2 0.0000 0.5000 0.6367 x2

=====

The following is a DFT calculation (SCAN) of a PBEsol-optimized structure of CsNb2SI.

Summary:
Spin magnetization   0.00 μB/f.u.
E_form (uncorrected)   2789 meV per atom
Uncorrected energy   -27.30 eV/atom

a = 5.0998 Å, b = 5.0998 Å, c = 6.1443 Å
α = 90.00°, β = 90.00°, γ = 90.00°
Space group P4/mmm (No. 123)
Inequivalent atoms, fractional coordinates:
Cs1 0.0000 0.0000 0.0000 x1
Nb1 0.0000 0.5000 0.0000 x2
S1 0.5000 0.5000 0.5000 x1
I1 0.0000 0.0000 0.5000 x1

=====

The following is a DFT calculation (SCAN) of a PBEsol-optimized structure of MgSi2Tc.

Summary:
Spin magnetization   0.00 μB/f.u.
E_form (uncorrected)   34 meV per atom
Uncorrected energy   -14.98 eV/atom

a = 3.2853 Å, b = 4.1062 Å, c = 8.2691 Å
α = 90.00°, β = 90.00°, γ = 90.00°
Space group Imm2 (No. 44)
Inequivalent atoms, fractional coordinates:
Mg1 0.0000 0.0000 0.0000 x2
Si1 0.0000 0.0000 0.5020 x2
Si2 0.0000 0.5000 0.2398 x2
Tc1 0.0000 0.5000 0.7634 x2

=====

The following is a DFT calculation (SCAN) of a PBEsol-optimized structure of K2BaTe.

Summary:
Spin magnetization   0.10 μB/f.u.
E_form (uncorrected)   -553 meV per atom
Uncorrected energy   -23.92 eV/atom

a = 5.2586 Å, b = 5.2586 Å, c = 28.0197 Å
α = 90.00°, β = 90.00°, γ = 120.00°
Space group R-3m (No. 166, hexagonal axes)
Inequivalent atoms, fractional coordinates:
K1 0.0000 0.0000 0.2154 x6
Ba1 0.0000 0.0000 0.0000 x3
Te1 0.0000 0.0000 0.5000 x3

=====

The following is a DFT calculation (SCAN) of a PBEsol-optimized structure of MnTl2I2.

Summary:
Spin magnetization   5.00 μB/f.u.
E_form (uncorrected)   113 meV per atom
Uncorrected energy   -47.18 eV/atom

a = 5.7143 Å, b = 5.7143 Å, c = 12.6775 Å
α = 90.00°, β = 90.00°, γ = 90.00°
Space group I4/mmm (No. 139)
Inequivalent atoms, fractional coordinates:
Mn1 0.0000 0.0000 0.0000 x2
Tl1 0.0000 0.0000 0.3723 x4
I1 0.0000 0.5000 0.2500 x4

=====

The following is a DFT calculation (SCAN) of a PBEsol-optimized structure of ZnAgAu2.

Summary:
Spin magnetization   0.00 μB/f.u.
Calculated formation energy   -136 meV per atom
Uncorrected energy   -45.94 eV/atom

a = 9.5767 Å, b = 2.9378 Å, c = 4.7423 Å
α = 90.00°, β = 105.69°, γ = 90.00°
Space group Cm (No. 8)
Inequivalent atoms, fractional coordinates:
Zn1 0.0000 0.0000 0.0000 x2
Ag1 0.2608 0.0000 0.7423 x2
Au1 0.2360 0.5000 0.2241 x2
Au2 0.4992 0.0000 0.4991 x2

=====

The following is a DFT calculation (SCAN) of a PBEsol-optimized structure of Ta3W.

Summary:
Spin magnetization   0.00 μB/f.u.
Calculated formation energy   -40 meV per atom
Uncorrected energy   -67.40 eV/atom

a = 4.5964 Å, b = 4.5964 Å, c = 3.2235 Å
α = 90.00°, β = 90.00°, γ = 90.00°
Space group P4/mmm (No. 123)
Inequivalent atoms, fractional coordinates:
Ta1 0.0000 0.0000 0.0000 x1
Ta2 0.0000 0.5000 0.5000 x2
W1 0.5000 0.5000 0.0000 x1

=====

The following is a DFT calculation (SCAN) of a PBEsol-optimized structure of LaAlZn2N.

Summary:
Spin magnetization   0.76 μB/f.u.
E_form (uncorrected)   688 meV per atom
Uncorrected energy   -16.75 eV/atom

a = 4.3823 Å, b = 4.3823 Å, c = 6.1241 Å
α = 90.00°, β = 90.00°, γ = 90.00°
Space group P4/mmm (No. 123)
Inequivalent atoms, fractional coordinates:
La1 0.0000 0.0000 0.0000 x1
Al1 0.0000 0.0000 0.5000 x1
Zn1 0.0000 0.5000 0.5000 x2
N1 0.5000 0.5000 0.0000 x1

=====

The following is a DFT calculation (SCAN) of a PBEsol-optimized structure of BiBI3.

Summary:
Spin magnetization   0.00 μB/f.u.
E_form (uncorrected)   759 meV per atom
Uncorrected energy   -38.49 eV/atom

a = 5.0843 Å, b = 5.0843 Å, c = 5.0843 Å
α = 90.00°, β = 90.00°, γ = 90.00°
Space group Pm-3m (No. 221)
Inequivalent atoms, fractional coordinates:
Bi1 0.0000 0.0000 0.0000 x1
B1 0.5000 0.5000 0.5000 x1
I1 0.0000 0.5000 0.5000 x3

=====

The following is a DFT calculation (SCAN) of a PBEsol-optimized structure of LiF.

Summary:
Spin magnetization   0.00 μB/f.u.
E above lowest polymorph   0.0351 eV/atom
E_form (uncorrected)   -3125 meV per atom
Uncorrected energy   -6.09 eV/atom

a = 3.1051 Å, b = 3.1051 Å, c = 4.7377 Å
α = 90.00°, β = 90.00°, γ = 120.00°
Space group P6_3mc (No. 186)
Inequivalent atoms, fractional coordinates:
Li1 0.3333 0.6667 0.0000 x2
F1 0.3333 0.6667 0.3962 x2

=====

The following is a DFT calculation (SCAN) of a PBEsol-optimized structure of TaTl2Rh.

Summary:
Spin magnetization   0.00 μB/f.u.
E above lowest polymorph   0.2268 eV/atom
Calculated formation energy   297 meV per atom
Uncorrected energy   -60.97 eV/atom

a = 2.9348 Å, b = 4.7853 Å, c = 11.3432 Å
α = 90.00°, β = 90.00°, γ = 90.00°
Space group Imm2 (No. 44)
Inequivalent atoms, fractional coordinates:
Ta1 0.0000 0.0000 0.0000 x2
Tl1 0.0000 0.0000 0.5708 x2
Tl2 0.0000 0.5000 0.7778 x2
Rh1 0.0000 0.5000 0.3097 x2

=====

The following is a DFT calculation (SCAN) of a PBEsol-optimized structure of Zn2CuPt.

Summary:
Spin magnetization   0.00 μB/f.u.
Calculated formation energy   -374 meV per atom
Uncorrected energy   -28.48 eV/atom

a = 3.6620 Å, b = 3.6620 Å, c = 7.9153 Å
α = 90.00°, β = 90.00°, γ = 90.00°
Space group I-4m2 (No. 119)
Inequivalent atoms, fractional coordinates:
Zn1 0.0000 0.0000 0.0000 x2
Zn2 0.0000 0.5000 0.2500 x2
Cu1 0.0000 0.0000 0.5000 x2
Pt1 0.0000 0.5000 0.7500 x2

=====

The following is a DFT calculation (SCAN) of a PBEsol-optimized structure of Cu2AgP.

Summary:
Spin magnetization   0.00 μB/f.u.
Calculated formation energy   202 meV per atom
Uncorrected energy   -17.84 eV/atom

a = 7.6941 Å, b = 2.7349 Å, c = 5.2542 Å
α = 90.00°, β = 99.11°, γ = 90.00°
Space group C2/m (No. 12)
Inequivalent atoms, fractional coordinates:
Cu1 0.2417 0.0000 0.2058 x4
Ag1 0.0000 0.0000 0.5000 x2
P1 0.0000 0.5000 0.0000 x2

=====

The following is a DFT calculation (SCAN) of a PBEsol-optimized structure of Na3SnAsCO7.

Summary:
Spin magnetization   0.00 μB/f.u.
E_form (uncorrected)   -1694 meV per atom
Uncorrected energy   -11.11 eV/atom

a = 5.3193 Å, b = 7.1794 Å, c = 9.5812 Å
α = 90.00°, β = 93.91°, γ = 90.00°
Space group P2_1/m (No. 11)
Inequivalent atoms, fractional coordinates:
Na1 0.2097 0.2500 0.4173 x2
Na2 0.2491 0.9997 0.7478 x4
Sn1 0.2434 0.7500 0.1412 x2
As1 0.2717 0.2500 0.1051 x2
C1 0.2651 0.7500 0.4448 x2
O1 0.0646 0.7500 0.3561 x2
O2 0.1597 0.2500 0.9305 x2
O3 0.1662 0.0633 0.1976 x4
O4 0.2344 0.7500 0.5768 x2
O5 0.4082 0.7500 0.8849 x2
O6 0.4878 0.7500 0.3978 x2

=====

The following is a DFT calculation (SCAN) of a PBEsol-optimized structure of Ti2TlH.

Summary:
Spin magnetization   0.00 μB/f.u.
Uncorrected energy   -26.60 eV/atom

a = 6.3131 Å, b = 6.3131 Å, c = 6.3131 Å
α = 90.00°, β = 90.00°, γ = 90.00°
Space group Fm-3m (No. 225)
Inequivalent atoms, fractional coordinates:
Ti1 0.2500 0.2500 0.2500 x8
Tl1 0.0000 0.0000 0.0000 x4
H1 0.0000 0.0000 0.5000 x4

=====

The following is a DFT calculation (SCAN) of a PBEsol-optimized structure of Ni20Sn3B6.

Summary:
Spin magnetization   0.00 μB/f.u.
Calculated formation energy   -239 meV per atom
Uncorrected energy   -16.65 eV/atom

a = 10.5481 Å, b = 10.5481 Å, c = 10.5481 Å
α = 90.00°, β = 90.00°, γ = 90.00°
Space group Fm-3m (No. 225)
Inequivalent atoms, fractional coordinates:
Ni1 0.0000 0.1708 0.1708 x48
Ni2 0.1146 0.1146 0.3854 x32
Sn1 0.0000 0.0000 0.0000 x4
Sn2 0.2500 0.2500 0.2500 x8
B1 0.0000 0.0000 0.2749 x24